LiRu2W: relaxed, PBEsol.

```
LiRu2W
1.0
3.620 0.000 0.000
0.000 3.620 0.000
-1.810 -1.810 4.078
Li Ru W
1 2 1
Cartesian
0.000 1.810 2.039
0.000 0.000 0.000
1.810 0.000 2.039
1.810 1.810 0.000
```

Summary:
Fermi-level density of states   3.757 states/eV/cell
ΔH_f (0 K)   0.28 eV/atom
Crystal system   tetragonal
DFT total energy   -8.747 eV/atom
Energy above the lowest structure with this stoichiometry   27.4 kJ per mole of atoms